Version A
Entry from Alexandria: a relaxed structure of Sn3HgRu (PBE). Values from VASP.

The density of states at the Fermi level comes out at 0.803 states/eV per atom.

```
&SYSTEM
  ibrav = 0, nat = 5, ntyp = 3
/
ATOMIC_SPECIES
Hg 200.59 Hg.upf
Sn 118.71 Sn.upf
Ru 101.07 Ru.upf
CELL_PARAMETERS angstrom
-4.6869 1.8571 1.0248
0.8836 -0.5501 5.0381
1.9283 4.7659 0.1822
ATOMIC_POSITIONS angstrom
Hg -0.9375 3.0365 3.1225
Sn 0.9641 2.3830 0.0911
Sn -2.3434 0.9286 0.5124
Sn 0.4418 -0.2750 2.5190
Ru 0.0000 0.0000 0.0000
```

Version B
Entry from Alexandria: a relaxed structure of Sn3HgRu (PBE). Values from VASP.

The density of states at the Fermi level comes out at 0.937 states/eV per atom.

```
&SYSTEM
  ibrav = 0, nat = 5, ntyp = 3
/
ATOMIC_SPECIES
Ru 101.07 Ru.upf
Sn 118.71 Sn.upf
Hg 200.59 Hg.upf
CELL_PARAMETERS angstrom
-3.7734 0.5558 3.8889
-0.1556 -5.4093 0.6222
3.9254 0.3199 3.7631
ATOMIC_POSITIONS angstrom
Ru -0.0018 -2.2668 4.1371
Sn -1.8867 0.2779 1.9445
Sn -0.0778 -2.7046 0.3111
Sn 1.9627 0.1600 1.8815
Hg 0.0000 0.0000 0.0000
```

Least stable: version B

Version A
Entry from Alexandria: a relaxed structure of TaHg2Ru (PBE). Values from VASP.

The density of states at the Fermi level comes out at 0.431 states/eV per atom.

```
&SYSTEM
  ibrav = 0, nat = 4, ntyp = 3
/
ATOMIC_SPECIES
Ta 180.95 Ta.upf
Ru 101.07 Ru.upf
Hg 200.59 Hg.upf
CELL_PARAMETERS angstrom
0.0000 3.2949 3.2949
3.2949 0.0000 3.2949
3.2949 3.2949 0.0000
ATOMIC_POSITIONS angstrom
Ta 3.2949 3.2949 3.2949
Ru 0.0000 0.0000 0.0000
Hg 1.6475 1.6475 1.6475
Hg 4.9424 4.9424 4.9424
```

Version B
Entry from Alexandria: a relaxed structure of TaHg2Ru (PBE). Values from VASP.

The density of states at the Fermi level comes out at 0.907 states/eV per atom.

```
&SYSTEM
  ibrav = 0, nat = 4, ntyp = 3
/
ATOMIC_SPECIES
Ru 101.07 Ru.upf
Ta 180.95 Ta.upf
Hg 200.59 Hg.upf
CELL_PARAMETERS angstrom
-1.5859 2.1377 1.3962
-1.5562 -2.9473 2.7448
4.3078 0.9409 3.4527
ATOMIC_POSITIONS angstrom
Ru -0.4941 -0.1696 2.9336
Ta 1.6598 0.3009 4.6600
Hg 2.1344 0.4662 1.7108
Hg 0.0194 0.0042 0.0156
```

Least stable: version A

Version A
Entry from Alexandria: a relaxed structure of TaHg2Ru (PBE). Values from VASP.

The density of states at the Fermi level comes out at 0.795 states/eV per atom.

```
&SYSTEM
  ibrav = 0, nat = 4, ntyp = 3
/
ATOMIC_SPECIES
Ta 180.95 Ta.upf
Hg 200.59 Hg.upf
Ru 101.07 Ru.upf
CELL_PARAMETERS angstrom
-5.4668 5.8767 -5.0548
-7.7248 4.0928 -3.6809
-6.4910 6.5841 -2.1189
ATOMIC_POSITIONS angstrom
Ta -14.9959 12.6120 -8.2699
Hg -0.1444 0.1214 -0.0796
Hg -4.7671 4.0092 -2.6289
Ru -9.6166 8.0879 -5.3034
```

Version B
Entry from Alexandria: a relaxed structure of TaHg2Ru (PBE). Values from VASP.

The density of states at the Fermi level comes out at 0.937 states/eV per atom.

```
&SYSTEM
  ibrav = 0, nat = 4, ntyp = 3
/
ATOMIC_SPECIES
Ru 101.07 Ru.upf
Ta 180.95 Ta.upf
Hg 200.59 Hg.upf
CELL_PARAMETERS angstrom
3.9930 0.0000 0.0000
0.0000 3.9930 0.0000
0.0000 0.0000 4.5908
ATOMIC_POSITIONS angstrom
Ru 1.9965 0.0000 2.2954
Ta 0.0000 1.9965 2.2954
Hg 0.0000 0.0000 0.0000
Hg 1.9965 1.9965 0.0000
```

Least stable: version B

Version A
Entry from Alexandria: a relaxed structure of TaHg2Ru (PBE). Values from VASP.

The density of states at the Fermi level comes out at 1.020 states/eV per atom.

```
&SYSTEM
  ibrav = 0, nat = 4, ntyp = 3
/
ATOMIC_SPECIES
Hg 200.59 Hg.upf
Ru 101.07 Ru.upf
Ta 180.95 Ta.upf
CELL_PARAMETERS angstrom
-3.8229 -2.6986 -0.4139
0.4304 -4.5058 -1.2572
-0.8242 -3.4018 3.1332
ATOMIC_POSITIONS angstrom
Hg -3.1625 -7.9547 1.0966
Hg 0.0000 0.0000 0.0000
Ru -2.1083 -5.3031 0.7310
Ta -1.0542 -2.6516 0.3655
```

Version B
Entry from Alexandria: a relaxed structure of TaHg2Ru (PBE). Values from VASP.

The density of states at the Fermi level comes out at 0.875 states/eV per atom.

```
&SYSTEM
  ibrav = 0, nat = 4, ntyp = 3
/
ATOMIC_SPECIES
Hg 200.59 Hg.upf
Ru 101.07 Ru.upf
Ta 180.95 Ta.upf
CELL_PARAMETERS angstrom
-0.9240 -1.7755 2.2968
-1.3135 -1.8942 -1.9920
7.1088 -4.3780 -0.5244
ATOMIC_POSITIONS angstrom
Hg 6.9668 -4.2906 -0.5139
Hg 0.8698 -3.0595 0.0057
Ru 3.7761 -2.3255 -0.2785
Ta 3.9218 -4.9391 -0.2194
```

Least stable: version A

Version A
Entry from Alexandria: a relaxed structure of Ta3HgRu (PBE). Values from VASP.

The density of states at the Fermi level comes out at 0.720 states/eV per atom.

```
&SYSTEM
  ibrav = 0, nat = 5, ntyp = 3
/
ATOMIC_SPECIES
Ru 101.07 Ru.upf
Hg 200.59 Hg.upf
Ta 180.95 Ta.upf
CELL_PARAMETERS angstrom
4.8039 0.0000 0.0000
0.0000 4.8039 0.0000
0.0000 0.0000 4.8039
ATOMIC_POSITIONS angstrom
Ru 0.0000 0.0000 0.0000
Hg 2.4019 2.4019 2.4019
Ta 2.4019 0.0000 0.0000
Ta 0.0000 2.4019 0.0000
Ta 0.0000 0.0000 2.4019
```

Version B
Entry from Alexandria: a relaxed structure of Ta3HgRu (PBE). Values from VASP.

The density of states at the Fermi level comes out at 2.501 states/eV per atom.

```
&SYSTEM
  ibrav = 0, nat = 5, ntyp = 3
/
ATOMIC_SPECIES
Ta 180.95 Ta.upf
Ru 101.07 Ru.upf
Hg 200.59 Hg.upf
CELL_PARAMETERS angstrom
-1.5352 -2.2065 -4.1349
4.5911 -1.5823 -0.8602
-0.9418 -4.1170 2.5466
ATOMIC_POSITIONS angstrom
Ta 2.2956 -0.7912 -0.4301
Ta -0.4709 -2.0585 1.2733
Ta -0.7676 -1.1032 -2.0674
Ru 1.0571 -3.9529 -1.2242
Hg 0.0000 0.0000 0.0000
```

Least stable: version B

Version A
Entry from Alexandria: a relaxed structure of TaHgRu3 (PBE). Values from VASP.

The density of states at the Fermi level comes out at 1.405 states/eV per atom.

```
&SYSTEM
  ibrav = 0, nat = 5, ntyp = 3
/
ATOMIC_SPECIES
Hg 200.59 Hg.upf
Ru 101.07 Ru.upf
Ta 180.95 Ta.upf
CELL_PARAMETERS angstrom
-0.7278 -4.7026 -0.2697
4.3904 -0.7761 1.6848
-1.7062 0.0088 4.4503
ATOMIC_POSITIONS angstrom
Hg 0.0000 0.0000 0.0000
Ru -0.8531 0.0044 2.2252
Ru 2.1952 -0.3880 0.8424
Ru -0.3639 -2.3513 -0.1348
Ta 0.9782 -2.7349 2.9327
```

Version B
Entry from Alexandria: a relaxed structure of TaHgRu3 (PBE). Values from VASP.

The density of states at the Fermi level comes out at 1.082 states/eV per atom.

```
&SYSTEM
  ibrav = 0, nat = 5, ntyp = 3
/
ATOMIC_SPECIES
Ru 101.07 Ru.upf
Hg 200.59 Hg.upf
Ta 180.95 Ta.upf
CELL_PARAMETERS angstrom
4.7475 0.0000 0.0000
0.0000 4.7475 0.0000
0.0000 0.0000 4.7475
ATOMIC_POSITIONS angstrom
Ru 2.3737 0.0000 0.0000
Ru 0.0000 2.3737 0.0000
Ru 0.0000 0.0000 2.3737
Hg 2.3737 2.3737 2.3737
Ta 0.0000 0.0000 0.0000
```

Least stable: version A